# 1
{"formula": "NdMg2Cd4", "functional": "PBE-GGA", "state": "optimized geometry", "lattice": [[7.502, 0.000, 0.000], [0.000, 7.502, 0.000], [0.000, 0.000, 5.802]], "species": ["Nd", "Nd", "Mg", "Mg", "Mg", "Mg", "Cd", "Cd", "Cd", "Cd", "Cd", "Cd", "Cd", "Cd"], "fractional_positions": [[0.000, 0.000, 0.000], [0.500, 0.500, 0.500], [0.000, 0.500, 0.250], [0.000, 0.500, 0.750], [0.500, 0.000, 0.250], [0.500, 0.000, 0.750], [0.196, 0.196, 0.500], [0.196, 0.804, 0.500], [0.304, 0.304, 0.000], [0.304, 0.696, 0.000], [0.696, 0.304, 0.000], [0.696, 0.696, 0.000], [0.804, 0.196, 0.500], [0.804, 0.804, 0.500]], "magnetic_moment_mub_per_atom": 0.00, "sg": "I4/mmm (139)", "total_energy_ev_per_atom": -1.8853, "density_g_cm3": 6.535}

***

# 2
{"formula": "Tb2Dy2Mg3", "functional": "PBE-GGA", "state": "optimized geometry", "lattice": [[-4.721, 4.721, 4.721], [4.721, -4.721, 4.721], [4.721, 4.721, -4.721]], "species": ["Tb", "Tb", "Tb", "Tb", "Dy", "Dy", "Dy", "Dy", "Mg", "Mg", "Mg", "Mg", "Mg", "Mg"], "fractional_positions": [[0.000, 0.662, 0.500], [0.500, 0.000, 0.662], [0.662, 0.500, 0.000], [0.838, 0.838, 0.838], [0.000, 0.148, 0.500], [0.148, 0.500, 0.000], [0.352, 0.352, 0.352], [0.500, 0.000, 0.148], [0.132, 0.882, 0.250], [0.250, 0.132, 0.882], [0.368, 0.618, 0.750], [0.618, 0.750, 0.368], [0.750, 0.368, 0.618], [0.882, 0.250, 0.132]], "magnetic_moment_mub_per_atom": 0.00, "sg": "I2_13 (199)", "total_energy_ev_per_atom": -3.1196, "density_g_cm3": 5.646}

***

# 3
{"formula": "AsBr2O2", "functional": "PBE-GGA", "state": "optimized geometry", "lattice": [[3.164, 0.000, 0.000], [0.000, 3.164, 0.000], [0.000, 0.000, 17.776]], "species": ["As", "As", "Br", "Br", "Br", "Br", "O", "O", "O", "O"], "fractional_positions": [[0.000, 0.000, 0.000], [0.500, 0.500, 0.500], [0.000, 0.000, 0.400], [0.000, 0.000, 0.600], [0.500, 0.500, 0.100], [0.500, 0.500, 0.900], [0.000, 0.500, 0.250], [0.000, 0.500, 0.750], [0.500, 0.000, 0.250], [0.500, 0.000, 0.750]], "magnetic_moment_mub_per_atom": 0.20, "sg": "I4/mmm (139)", "total_energy_ev_per_atom": -2.4876, "e_form_raw_ev_per_atom": 1.09, "density_g_cm3": 4.978}

***

# 4
{"formula": "Ba2LiCaAs", "functional": "PBE-GGA", "state": "optimized geometry", "lattice": [[6.479, 0.000, 0.000], [0.000, 6.479, 0.000], [0.000, 0.000, 5.696]], "species": ["Ba", "Ba", "Li", "Ca", "As"], "fractional_positions": [[0.000, 0.500, 0.000], [0.500, 0.000, 0.000], [0.000, 0.000, 0.500], [0.500, 0.500, 0.500], [0.500, 0.500, 0.000]], "magnetic_moment_mub_per_atom": 0.00, "sg": "P4/mmm (123)", "total_energy_ev_per_atom": -2.9094, "density_g_cm3": 2.754}

***

# 5
{"formula": "Cu2Ni2Au", "functional": "PBE-GGA", "state": "optimized geometry", "lattice": [[6.928, 0.000, 0.000], [0.000, 6.928, 0.000], [0.000, 0.000, 2.691]], "species": ["Cu", "Cu", "Cu", "Cu", "Ni", "Ni", "Ni", "Ni", "Au", "Au"], "fractional_positions": [[0.127, 0.373, 0.000], [0.373, 0.873, 0.000], [0.627, 0.127, 0.000], [0.873, 0.627, 0.000], [0.168, 0.668, 0.500], [0.332, 0.168, 0.500], [0.668, 0.832, 0.500], [0.832, 0.332, 0.500], [0.000, 0.000, 0.000], [0.500, 0.500, 0.000]], "relative_energy_ev_per_atom": 0.005, "magnetic_moment_mub_per_atom": 0.00, "sg": "P4/mbm (127)", "total_energy_ev_per_atom": -4.4536, "density_g_cm3": 11.351}

***

# 6
{"formula": "HgGe2Sb", "functional": "PBE-GGA", "state": "optimized geometry", "lattice": [[6.327, 0.000, 0.000], [0.000, 6.327, 0.000], [0.000, 0.000, 12.053]], "species": ["Hg", "Hg", "Hg", "Hg", "Ge", "Ge", "Ge", "Ge", "Ge", "Ge", "Ge", "Ge", "Sb", "Sb", "Sb", "Sb"], "fractional_positions": [[0.000, 0.000, 0.000], [0.000, 0.500, 0.250], [0.500, 0.000, 0.750], [0.500, 0.500, 0.500], [0.243, 0.250, 0.125], [0.250, 0.743, 0.375], [0.250, 0.757, 0.875], [0.257, 0.250, 0.625], [0.743, 0.750, 0.625], [0.750, 0.243, 0.875], [0.750, 0.257, 0.375], [0.757, 0.750, 0.125], [0.000, 0.000, 0.500], [0.000, 0.500, 0.750], [0.500, 0.000, 0.250], [0.500, 0.500, 0.000]], "relative_energy_ev_per_atom": 0.000, "magnetic_moment_mub_per_atom": 0.00, "sg": "I-42d (122)", "total_energy_ev_per_atom": -3.2064, "e_form_raw_ev_per_atom": 0.21, "density_g_cm3": 6.437}

***

# 7
{"formula": "CeTh2Sn", "functional": "PBE-GGA", "state": "optimized geometry", "lattice": [[4.913, 0.000, 0.000], [0.000, 4.913, 0.000], [0.000, 0.000, 4.833]], "species": ["Ce", "Th", "Th", "Sn"], "fractional_positions": [[0.000, 0.000, 0.000], [0.000, 0.500, 0.500], [0.500, 0.000, 0.500], [0.500, 0.500, 0.000]], "relative_energy_ev_per_atom": 0.000, "magnetic_moment_mub_per_atom": 0.17, "sg": "P4/mmm (123)", "total_energy_ev_per_atom": -6.5263, "density_g_cm3": 10.293}

***

# 8
{"formula": "Y4MnBr5", "functional": "PBE-GGA", "state": "optimized geometry", "lattice": [[9.055, -1.928, 0.000], [9.055, 1.928, 0.000], [-2.256, 0.000, 8.799]], "species": ["Y", "Y", "Y", "Y", "Mn", "Br", "Br", "Br", "Br", "Br"], "fractional_positions": [[0.001, 0.001, 0.234], [0.364, 0.364, 0.930], [0.636, 0.636, 0.070], [0.999, 0.999, 0.766], [0.500, 0.500, 0.000], [0.168, 0.168, 0.318], [0.171, 0.171, 0.851], [0.500, 0.500, 0.500], [0.829, 0.829, 0.149], [0.832, 0.832, 0.682]], "magnetic_moment_mub_per_atom": 0.00, "sg": "C2/m (12)", "total_energy_ev_per_atom": -5.5519, "e_form_raw_ev_per_atom": -1.21, "density_g_cm3": 4.379}